1:
A relaxed structure of Sm3DyTc. Source: Alexandria, functional GGA-PBE.

**Density**: 8.1 g/cm³

a = 12.238 Å, b = 3.963 Å, c = 13.049 Å
α = 90.00°, β = 112.36°, γ = 90.00°
Space group Cm (No. 8)
One atom of each set of equivalent atoms:
Sm: 0.000 0.000 0.000 x2
Sm: 0.021 0.000 0.374 x2
Sm: 0.186 0.500 0.237 x2
Sm: 0.296 0.500 0.517 x2
Sm: 0.329 0.000 0.762 x2
Sm: 0.354 0.000 0.131 x2
Dy: 0.050 0.500 0.620 x2
Dy: 0.167 0.500 0.895 x2
Tc: 0.358 0.000 0.377 x2
Tc: 0.496 0.500 0.764 x2

2:
A relaxed structure of Sm3DyTc. Source: Alexandria, functional GGA-PBE.

**Density**: 7.3 g/cm³

a = 5.458 Å, b = 5.458 Å, c = 5.458 Å
α = 90.00°, β = 90.00°, γ = 90.00°
Space group Pm-3m (No. 221)
One atom of each set of equivalent atoms:
Sm: 0.000 0.000 0.500 x3
Dy: 0.500 0.500 0.500 x1
Tc: 0.000 0.000 0.000 x1

Relative calculated energies, zero for the most stable structure, unit kJ/mol of atoms: 1 0.0; 2 20.4.

1:
A relaxed structure of SmDyTc. Source: Alexandria, functional GGA-PBE.

**Density**: 8.3 g/cm³

a = 4.449 Å, b = 18.506 Å, c = 3.986 Å
α = 90.00°, β = 90.00°, γ = 90.00°
Space group Cmcm (No. 63)
One atom of each set of equivalent atoms:
Sm: 0.000 0.196 0.250 x4
Dy: 0.000 0.419 0.250 x4
Tc: 0.000 0.036 0.250 x4

2:
A relaxed structure of SmDyTc. Source: Alexandria, functional GGA-PBE.

**Density**: 8.8 g/cm³

a = 3.492 Å, b = 3.492 Å, c = 12.703 Å
α = 90.00°, β = 90.00°, γ = 90.00°
Space group I4mm (No. 107)
One atom of each set of equivalent atoms:
Sm: 0.000 0.000 0.000 x2
Dy: 0.000 0.000 0.259 x2
Tc: 0.000 0.000 0.633 x2

Relative calculated energies, zero for the most stable structure, unit kJ/mol of atoms: 1 0.6; 2 0.0.

1:
A relaxed structure of Sm2DyTe. Source: Alexandria, functional GGA-PBE.

**Density**: 7.4 g/cm³

a = 3.9581 Å, b = 3.9581 Å, c = 29.4944 Å
α = 90.00°, β = 90.00°, γ = 120.00°
Space group R3m (No. 160, hexagonal axes)
One atom of each set of equivalent atoms:
Sm: 0.0000 0.0000 0.0000 x3
Sm: 0.0000 0.0000 0.1884 x3
Dy: 0.0000 0.0000 0.4271 x3
Te: 0.0000 0.0000 0.5942 x3

2:
A relaxed structure of Sm2DyTe. Source: Alexandria, functional GGA-PBE.

**Density**: 8.0 g/cm³

a = 3.935 Å, b = 3.935 Å, c = 7.943 Å
α = 90.00°, β = 90.00°, γ = 90.00°
Space group P4/mmm (No. 123)
One atom of each set of equivalent atoms:
Sm: 0.000 0.000 0.225 x2
Dy: 0.500 0.500 0.500 x1
Te: 0.500 0.500 0.000 x1

Relative calculated energies, zero for the most stable structure, unit kJ/mol of atoms: 1 2.7; 2 0.0.

1:
A relaxed structure of SmDy2Te4. Source: Alexandria, functional GGA-PBE.

**Density**: 7.1 g/cm³

a = 4.275 Å, b = 14.348 Å, c = 14.988 Å
α = 90.00°, β = 90.00°, γ = 90.00°
Space group Cmcm (No. 63)
One atom of each set of equivalent atoms:
Sm: 0.000 0.127 0.250 x4
Dy: 0.000 0.369 0.069 x8
Te: 0.000 0.000 0.000 x4
Te: 0.000 0.277 0.621 x8
Te: 0.000 0.464 0.250 x4

2:
A relaxed structure of SmDy2Te4. Source: Alexandria, functional GGA-PBE.

**Density**: 6.7 g/cm³

a = 16.515 Å, b = 4.370 Å, c = 7.590 Å
α = 90.00°, β = 116.97°, γ = 90.00°
Space group C2/m (No. 12)
One atom of each set of equivalent atoms:
Sm: 0.000 0.000 0.000 x2
Dy: 0.245 0.500 0.731 x4
Te: 0.124 0.000 0.457 x4
Te: 0.132 0.500 0.969 x4

Relative calculated energies, zero for the most stable structure, unit kJ/mol of atoms: 1 2.2; 2 0.0.